DFT (GGA-PBE) results for YCoBi2 after structural relaxation.

Cell lengths 7.338, 7.338, 7.338 Å; angles 90.00, 90.00, 90.00 degrees
Space group F-43m (No. 216)
One atom of each set of equivalent atoms:
Y: 0.000 0.000 0.000 [4 per cell]
Co: 0.250 0.250 0.750 [4 per cell]
Bi: 0.000 0.000 0.500 [4 per cell]
Bi: 0.250 0.250 0.250 [4 per cell]

Values from the calculation:
Raw total energy   -5.24 eV per atom
V   395.1 Å³ per cell

DFT (GGA-PBE) results for CsSmO3 after structural relaxation.

Cell lengths 6.505, 9.170, 6.483 Å; angles 90.00, 90.00, 90.00 degrees
Space group Pnma (No. 62)
One atom of each set of equivalent atoms:
Cs: 0.001 0.250 0.000 [4 per cell]
Sm: 0.000 0.000 0.500 [4 per cell]
O: 0.002 0.250 0.500 [4 per cell]
O: 0.245 0.000 0.245 [8 per cell]

Values from the calculation:
Raw total energy   -5.86 eV per atom
V   386.7 Å³ per cell